No. 1
LaAsOs: relaxed, PBE-GGA.

Values from the calculation:
DOS(E_F), states/eV/cell: 8.2
Mass density, g/cm³: 9.6
Energy of formation from the pure elements, eV/atom: -0.552
Energy, eV/atom: -7.49

a b c (Å): 6.3649 4.2033 10.6851
angles (deg): 90.00 101.14 90.00
Closest atoms and distances in Å follow each position.
Element x y z (fractional)
La 0.2862 0.5000 0.3194  5 As 3.10-3.11, 4 Os 3.14-3.47
Os 0.8408 0.0000 0.9053  2 Os 2.46, 2 As 2.67
Os 0.0133 0.5000 0.9898  2 Os 2.46, 3 As 2.52-2.64
Os 0.0133 0.0000 0.4898  2 Os 2.46, 3 As 2.52-2.64
As 0.6104 0.5000 0.9547  3 Os 2.52-2.67
La 0.7471 0.5000 0.6747  3 Os 3.05-3.21, 5 As 3.15-3.28
La 0.2862 0.0000 0.8194  5 As 3.10-3.11, 4 Os 3.14-3.47
As 0.6104 0.0000 0.4547  3 Os 2.52-2.67
As 0.2226 0.5000 0.6011  3 Os 2.64-2.88
La 0.7471 0.0000 0.1747  3 Os 3.05-3.21, 5 As 3.15-3.28
As 0.2226 0.0000 0.1011  3 Os 2.64-2.88
Os 0.8408 0.5000 0.4053  2 Os 2.46, 2 As 2.67

=====

No. 2
La2AsOs: relaxed, PBE-GGA.

Values from the calculation:
DOS(E_F), states/eV/cell: 6.4
Mass density, g/cm³: 8.1
Energy of formation from the pure elements, eV/atom: -0.369
Energy, eV/atom: -6.80

a b c (Å): 4.2797 4.2797 7.4459
angles (deg): 73.24 73.24 60.06
Closest atoms and distances in Å follow each position.
Element x y z (fractional)
La 0.0050 0.0050 0.9847  3 Os 2.97, 3 As 3.09-3.10
La 0.4950 0.4950 0.5153  3 Os 2.97, 3 As 3.09-3.10
As 0.2500 0.2500 0.2500  6 La 3.09-3.10
Os 0.7500 0.7500 0.7500  6 La 2.97

=====

No. 3
La2AsOs: relaxed, PBE-GGA.

Values from the calculation:
DOS(E_F), states/eV/cell: 1.8
Mass density, g/cm³: 9.4
Energy of formation from the pure elements, eV/atom: -0.448
Energy, eV/atom: -6.88

a b c (Å): 8.5583 5.1001 3.7244
angles (deg): 90.05 64.14 132.82
Closest atoms and distances in Å follow each position.
Element x y z (fractional)
As 0.5000 0.5000 0.0000  8 La 3.16, 2 Os 3.34
Os 0.0000 0.5000 0.5000  8 La 3.16, 2 As 3.34
La 0.5000 0.0000 0.5000  4 As 3.16, 4 Os 3.16, 2 La 3.34
La 0.0000 0.0000 0.0000  4 Os 3.16, 4 As 3.16, 2 La 3.34

=====

No. 4
LaAsOs3: relaxed, PBE-GGA.

Values from the calculation:
DOS(E_F), states/eV/cell: 2.8
Mass density, g/cm³: 13.1
Energy above the lowest structure with this stoichiometry, eV/atom: 0.0000
Energy of formation from the pure elements, eV/atom: 0.717
Energy, eV/atom: -7.94

a b c (Å): 4.6373 4.6373 4.6373
angles (deg): 90.00 90.00 90.00
Closest atoms and distances in Å follow each position.
Element x y z (fractional)
Os 0.5000 0.0000 0.0000  2 As 2.32
As 0.0000 0.0000 0.0000  6 Os 2.32
Os 0.0000 0.5000 0.0000  2 As 2.32
Os 0.0000 0.0000 0.5000  2 As 2.32
La 0.5000 0.5000 0.5000  12 Os 3.28

=====

No. 5
La2AsOs: relaxed, PBE-GGA.

Values from the calculation:
DOS(E_F), states/eV/cell: 2.0
Mass density, g/cm³: 9.3
Energy of formation from the pure elements, eV/atom: -0.440
Energy, eV/atom: -6.87

a b c (Å): 5.0643 5.0648 3.7915
angles (deg): 90.00 90.00 90.00
Closest atoms and distances in Å follow each position.
Element x y z (fractional)
Os 0.5000 0.0000 0.5000  8 La 3.16
La 0.0000 0.0000 0.0000  4 Os 3.16, 4 As 3.16
La 0.5000 0.5000 0.0000  4 As 3.16, 4 Os 3.16
As 0.0000 0.5000 0.5000  8 La 3.16

=====

No. 6
LaAs3Os: relaxed, PBE-GGA.

Values from the calculation:
DOS(E_F), states/eV/cell: 9.2
Mass density, g/cm³: 5.9
Energy above the lowest structure with this stoichiometry, eV/atom: 2.0250
Energy of formation from the pure elements, eV/atom: 1.991
Energy, eV/atom: -4.03

a b c (Å): 5.3727 5.3727 5.3727
angles (deg): 90.00 90.00 90.00
Closest atoms and distances in Å follow each position.
Element x y z (fractional)
As 0.5000 0.0000 0.0000  2 La 2.69
La 0.0000 0.0000 0.0000  6 As 2.69
Os 0.5000 0.5000 0.5000  12 As 3.80
As 0.0000 0.5000 0.0000  2 La 2.69
As 0.0000 0.0000 0.5000  2 La 2.69

=====

What did the second record say?
La2AsOs: relaxed, PBE-GGA.

Values from the calculation:
DOS(E_F), states/eV/cell: 6.4
Mass density, g/cm³: 8.1
Energy of formation from the pure elements, eV/atom: -0.369
Energy, eV/atom: -6.80

a b c (Å): 4.2797 4.2797 7.4459
angles (deg): 73.24 73.24 60.06
Closest atoms and distances in Å follow each position.
Element x y z (fractional)
La 0.0050 0.0050 0.9847  3 Os 2.97, 3 As 3.09-3.10
La 0.4950 0.4950 0.5153  3 Os 2.97, 3 As 3.09-3.10
As 0.2500 0.2500 0.2500  6 La 3.09-3.10
Os 0.7500 0.7500 0.7500  6 La 2.97

=====

Which formula does entry 2 have? La2AsOs

=====

Which of these has the lowest energy of formation from the pure elements? LaAsOs

=====

What is the formula in the first record? LaAsOs